Density functional theory data (PBE) for a relaxed structure of FeW3.

The structure in extended XYZ format:
```
4
Lattice="4.482 0.000 0.000 0.000 4.482 0.000 0.000 0.000 4.482" Properties=species:S:1:pos:R:3 pbc="T T T"
Fe 0.000 0.000 0.000
W 0.000 0.000 2.241
W 0.000 2.241 0.000
W 2.241 0.000 0.000
```

***

Density functional theory data (PBE) for a relaxed structure of ScNiHg2.

The structure in extended XYZ format:
```
4
Lattice="3.411 0.000 0.000 0.000 3.650 0.000 -1.663 0.000 6.400" Properties=species:S:1:pos:R:3 pbc="T T T"
Sc 0.000 0.000 0.000
Ni 0.044 1.825 5.514
Hg -0.006 0.000 3.626
Hg 1.708 1.825 1.808
```

***

no.,formation energy (eV per atom),DOS at the Fermi energy (states/eV per atom)
1,2.332,1.057
2,-0.199,0.416